Record 1
A geometry-optimized CdIrRh2 structure. Source: the Alexandria database, functional GGA-PBE.

Computed properties:
The calculation puts the total magnetic moment at 0.00 μB/f.u. Its space-group type is P4mm. For the total energy, the calculation gives -5.87 eV per atom. Its density is 13.33 Mg/m³.

Cell: 3.2319 3.2319 6.0892 Å, 90.00 90.00 90.00°
Element x y z (fractional)
Cd: 0.0000 0.0000 0.0000
Ir: 0.5000 0.5000 0.2824
Rh: 0.0000 0.0000 0.4994
Rh: 0.5000 0.5000 0.7325

Record 2
A geometry-optimized Ca2SbS2 structure. Source: the Alexandria database, functional GGA-PBE.

Computed properties:
As for the formation energy from raw total energies: -1.04 eV/atom. The calculation puts the total magnetic moment at 0.00 μB/f.u. Its space-group type is P4/mbm. For the total energy, the calculation gives -4.31 eV per atom. Its density is 3.73 Mg/m³. The value obtained for the distance to the lowest polymorph of the same formula is 0 meV per atom.

Cell: 8.1251 8.1251 3.5892 Å, 90.00 90.00 90.00°
Element x y z (fractional)
Ca: 0.1479 0.3521 0.0000
Ca: 0.3521 0.8521 0.0000
Ca: 0.6479 0.1479 0.0000
Ca: 0.8521 0.6479 0.0000
Sb: 0.0000 0.0000 0.0000
Sb: 0.5000 0.5000 0.0000
S: 0.1575 0.6575 0.5000
S: 0.3425 0.1575 0.5000
S: 0.6575 0.8425 0.5000
S: 0.8425 0.3425 0.5000

Record 3
A geometry-optimized Nd2ScAg structure. Source: the Alexandria database, functional GGA-PBE.

Computed properties:
The calculation puts the total magnetic moment at 0.00 μB/f.u. Its space-group type is R-3m. For the total energy, the calculation gives -4.45 eV per atom. Its density is 6.48 Mg/m³. The value obtained for the distance to the lowest polymorph of the same formula is 309 meV per atom.

Cell: 11.7787 11.7787 11.7787 Å, 16.36 16.36 16.36°
Element x y z (fractional)
Nd: 0.0921 0.0921 0.0921
Nd: 0.9079 0.9079 0.9079
Sc: 0.0000 0.0000 0.0000
Ag: 0.5000 0.5000 0.5000